7
Lattice="6.057 -1.714 0.000 6.057 1.714 0.000 -2.563 0.000 5.292" Properties=species:S:1:pos:R:3 comment="Sm2Tc2BC2 (PBE, relaxed)" magmom_total_mub_per_cell=0.00 delta_e_f_ev_per_fu=-1.7 dft_energy_ev_per_cell=-56.95 pbc="T T T"
Sm 0.536 0.000 1.658
Sm 9.016 0.000 3.634
Tc 3.592 0.000 0.937
Tc 5.959 0.000 4.355
B 4.776 0.000 2.646
C 1.050 0.000 4.095
C 8.502 0.000 1.197